one:
A geometry-optimized Ca3PmCd8 structure, computed with PBE.

a b c (Å): 6.074 6.074 9.574
angles (deg): 90.00 90.00 120.00
Fractional coordinates of all 12 atoms:
Ca (0.000, 0.000, 0.000)
Ca (0.000, 0.000, 0.383)
Ca (0.333, 0.667, 0.878)
Pm (0.333, 0.667, 0.499)
Cd (0.009, 0.504, 0.191)
Cd (0.326, 0.163, 0.690)
Cd (0.496, 0.504, 0.191)
Cd (0.496, 0.991, 0.191)
Cd (0.667, 0.333, 0.441)
Cd (0.667, 0.333, 0.942)
Cd (0.837, 0.163, 0.690)
Cd (0.837, 0.674, 0.690)

## Properties
magnetic moment: 0.00 μB/cell

=====

two:
A geometry-optimized Ca3PmCd8 structure, computed with PBE.

a b c (Å): 10.418 10.418 10.418
angles (deg): 33.53 33.53 33.53
Fractional coordinates of all 12 atoms:
Ca (0.000, 0.000, 0.000)
Ca (0.126, 0.126, 0.126)
Ca (0.501, 0.501, 0.501)
Pm (0.625, 0.625, 0.625)
Cd (0.062, 0.563, 0.563)
Cd (0.064, 0.064, 0.563)
Cd (0.064, 0.563, 0.064)
Cd (0.313, 0.313, 0.313)
Cd (0.563, 0.062, 0.563)
Cd (0.563, 0.064, 0.064)
Cd (0.563, 0.563, 0.062)
Cd (0.813, 0.813, 0.813)

## Properties
magnetic moment: 0.00 μB/cell

=====

Energy relative to the most stable one, in eV/atom: one 0.000; two 0.011

=====

one:
A geometry-optimized CaPmPrCd structure, computed with PBE.

a b c (Å): 3.697 3.697 9.605
angles (deg): 90.00 90.00 90.00
Fractional coordinates of all 4 atoms:
Ca (0.000, 0.000, 0.000)
Pm (0.000, 0.000, 0.571)
Pr (0.500, 0.500, 0.306)
Cd (0.500, 0.500, 0.785)

## Properties
magnetic moment: 0.00 μB/cell

=====

two:
A geometry-optimized CaPmPrCd structure, computed with PBE.

a b c (Å): 5.644 5.644 5.644
angles (deg): 60.00 60.00 60.00
Fractional coordinates of all 4 atoms:
Ca (0.000, 0.000, 0.000)
Pm (0.250, 0.250, 0.250)
Pr (0.750, 0.750, 0.750)
Cd (0.500, 0.500, 0.500)

## Properties
magnetic moment: 0.00 μB/cell

=====

Energy relative to the most stable one, in eV/atom: one 0.000; two 0.095

=====

one:
A geometry-optimized CaPmSmCd structure, computed with PBE.

a b c (Å): 3.668 3.668 9.556
angles (deg): 90.00 90.00 90.00
Fractional coordinates of all 4 atoms:
Ca (0.000, 0.000, 0.000)
Pm (0.500, 0.500, 0.305)
Sm (0.000, 0.000, 0.566)
Cd (0.500, 0.500, 0.781)

## Properties
magnetic moment: 0.00 μB/cell

=====

two:
A geometry-optimized CaPmSmCd structure, computed with PBE.

a b c (Å): 5.624 5.624 5.624
angles (deg): 60.00 60.00 60.00
Fractional coordinates of all 4 atoms:
Ca (0.000, 0.000, 0.000)
Pm (0.250, 0.250, 0.250)
Sm (0.500, 0.500, 0.500)
Cd (0.750, 0.750, 0.750)

## Properties
magnetic moment: 0.00 μB/cell

=====

Energy relative to the most stable one, in eV/atom: one 0.000; two 0.178

=====

one:
A geometry-optimized CaTbPmCd structure, computed with PBE.

a b c (Å): 3.644 3.644 9.504
angles (deg): 90.00 90.00 90.00
Fractional coordinates of all 4 atoms:
Ca (0.000, 0.000, 0.000)
Tb (0.000, 0.000, 0.568)
Pm (0.500, 0.500, 0.308)
Cd (0.500, 0.500, 0.777)

## Properties
magnetic moment: 0.00 μB/cell

=====

two:
A geometry-optimized CaTbPmCd structure, computed with PBE.

a b c (Å): 5.590 5.590 5.590
angles (deg): 60.00 60.00 60.00
Fractional coordinates of all 4 atoms:
Ca (0.000, 0.000, 0.000)
Tb (0.500, 0.500, 0.500)
Pm (0.250, 0.250, 0.250)
Cd (0.750, 0.750, 0.750)

## Properties
magnetic moment: 0.00 μB/cell

=====

Energy relative to the most stable one, in eV/atom: one 0.000; two 0.184

=====

one:
A geometry-optimized CaPmYCd structure, computed with PBE.

a b c (Å): 5.566 5.566 5.566
angles (deg): 60.00 60.00 60.00
Fractional coordinates of all 4 atoms:
Ca (0.000, 0.000, 0.000)
Pm (0.750, 0.750, 0.750)
Y (0.250, 0.250, 0.250)
Cd (0.500, 0.500, 0.500)

## Properties
magnetic moment: 0.00 μB/cell

=====

two:
A geometry-optimized CaPmYCd structure, computed with PBE.

a b c (Å): 3.643 3.643 9.513
angles (deg): 90.00 90.00 90.00
Fractional coordinates of all 4 atoms:
Ca (0.000, 0.000, 0.000)
Pm (0.500, 0.500, 0.308)
Y (0.000, 0.000, 0.570)
Cd (0.500, 0.500, 0.778)

## Properties
magnetic moment: 0.00 μB/cell

=====

Energy relative to the most stable one, in eV/atom: one 0.109; two 0.000

=====

one:
A geometry-optimized CaPr2Cd3 structure, computed with PBE.

a b c (Å): 3.852 3.852 11.751
angles (deg): 90.00 90.00 90.00
Fractional coordinates of all 6 atoms:
Ca (0.000, 0.000, 0.000)
Pr (0.000, 0.000, 0.334)
Pr (0.000, 0.000, 0.666)
Cd (0.500, 0.500, 0.167)
Cd (0.500, 0.500, 0.500)
Cd (0.500, 0.500, 0.833)

## Properties
magnetic moment: 0.00 μB/cell

=====

two:
A geometry-optimized CaPr2Cd3 structure, computed with PBE.

a b c (Å): 5.467 5.467 13.401
angles (deg): 90.00 90.00 120.00
Fractional coordinates of all 12 atoms:
Ca (0.333, 0.667, 0.167)
Ca (0.667, 0.333, 0.833)
Pr (0.000, 0.000, 0.000)
Pr (0.000, 0.000, 0.500)
Pr (0.333, 0.667, 0.671)
Pr (0.667, 0.333, 0.329)
Cd (0.000, 0.000, 0.248)
Cd (0.000, 0.000, 0.752)
Cd (0.333, 0.667, 0.417)
Cd (0.333, 0.667, 0.917)
Cd (0.667, 0.333, 0.083)
Cd (0.667, 0.333, 0.583)

## Properties
magnetic moment: 0.02 μB/cell

=====

Energy relative to the most stable one, in eV/atom: one 0.014; two 0.000